Entry from the Alexandria database: a relaxed structure of ZrReTc2 (GGA-PBE).

Lattice parameters (Å, degrees): 5.3094 5.3094 4.5135 115.06 115.06 34.71
Element x y z (fractional)
Zr (0.0000, 0.0000, 0.0000)
Re (0.7544, 0.7544, 0.2547)
Tc (0.2475, 0.2475, 0.7473)
Tc (0.4959, 0.4959, 0.4959)

Results
electronic total energy: -0.3850 Ha/atom